A plane-wave DFT calculation with PBE was carried out for an optimized crystal structure of GaSiH2.

Computed properties:
The total energy is -3.604 eV/atom. For the volume, the calculation gives 111.31 Å³/cell. As for the total magnetization: 0.000 Bohr magnetons per cell. The value obtained for the energy above the most stable polymorph in this dataset is 0.0459 eV per atom. The space group is P1 (1).

Unit cell a=4.0898 b=4.8853 c=5.8772 alpha=79.05 beta=76.53 gamma=80.84
Atoms (fractional coordinates):
Ga  0.0000  0.0000  0.0000
Ga  0.3562  0.3750  0.9873
Si  0.2733  0.4585  0.3953
Si  0.7325  0.3121  0.6002
H  0.1795  0.7147  0.8625
H  0.2027  0.7729  0.3872
H  0.6594  0.8882  0.1539
H  0.7737  0.9965  0.6117